Record 1
VASP calculation (PBE) on a geometry-optimized Rb3In5Pb6 structure.

extended XYZ file:
```
28
Lattice="5.396 0.000 0.000 0.000 15.488 0.000 0.000 0.000 11.537" Properties=species:S:1:pos:R:3 pbc="T T T"
Rb 1.349 0.714 2.855
Rb 1.349 7.030 2.855
Rb 1.349 11.616 2.898
Rb 4.047 3.872 8.640
Rb 4.047 8.458 8.682
Rb 4.047 14.774 8.682
In 1.349 1.476 7.094
In 1.349 6.269 7.094
In 1.349 9.455 11.116
In 1.349 11.616 8.655
In 1.349 13.778 11.116
In 4.047 1.711 0.421
In 4.047 3.872 2.883
In 4.047 6.034 0.421
In 4.047 9.220 4.443
In 4.047 14.013 4.443
Pb 1.349 1.385 10.238
Pb 1.349 3.872 0.768
Pb 1.349 3.872 5.002
Pb 1.349 6.360 10.238
Pb 1.349 9.314 6.172
Pb 1.349 13.919 6.172
Pb 4.047 1.570 5.365
Pb 4.047 6.175 5.365
Pb 4.047 9.129 1.299
Pb 4.047 11.616 6.535
Pb 4.047 11.616 10.770
Pb 4.047 14.104 1.299
```

Computed properties:
Formation energy in meV per atom: -86
Size of the total moment in μB/f.u.: 0.0
SG: Pmmn, No. 59
Total DFT energy (no corrections) in eV per cell: -80.1

=====

Record 2
VASP calculation (PBE) on a geometry-optimized BaYW3 structure.

extended XYZ file:
```
5
Lattice="5.098 0.000 0.000 0.000 5.098 0.000 0.000 0.000 5.098" Properties=species:S:1:pos:R:3 pbc="T T T"
Ba 0.000 0.000 0.000
Y 2.549 2.549 2.549
W 0.000 2.549 2.549
W 2.549 0.000 2.549
W 2.549 2.549 0.000
```

Computed properties:
Formation energy in meV per atom: 2655
Size of the total moment in μB/f.u.: 0.0
Distance to the lowest polymorph of the same formula in meV/atom: 0
SG: Pm-3m, No. 221
Total DFT energy (no corrections) in eV per cell: -34.0

=====

Record 3
VASP calculation (PBE) on a geometry-optimized RbPrCd10 structure.

extended XYZ file:
```
12
Lattice="4.853 0.000 0.000 0.000 6.153 0.000 0.000 0.000 10.548" Properties=species:S:1:pos:R:3 pbc="T T T"
Rb 0.000 0.000 0.000
Pr 0.000 3.077 5.274
Cd 0.000 0.000 3.549
Cd 0.000 0.000 6.999
Cd 0.000 3.077 1.804
Cd 0.000 3.077 8.744
Cd 2.427 0.000 5.274
Cd 2.427 1.627 2.873
Cd 2.427 1.627 7.675
Cd 2.427 3.077 0.000
Cd 2.427 4.526 2.873
Cd 2.427 4.526 7.675
```

Computed properties:
Formation energy in meV per atom: -109
Size of the total moment in μB/f.u.: 0.0
SG: Pmmm, No. 47
Total DFT energy (no corrections) in eV per cell: -16.2

=====

Record 4
VASP calculation (PBE) on a geometry-optimized InNiHg2 structure.

extended XYZ file:
```
12
Lattice="3.306 0.000 0.000 -1.653 2.863 0.000 0.000 0.000 26.920" Properties=species:S:1:pos:R:3 pbc="T T T"
In 0.000 0.000 0.000
In 0.000 1.908 17.947
In 1.653 0.954 8.973
Ni 0.000 0.000 13.460
Ni 0.000 1.908 4.487
Ni 1.653 0.954 22.433
Hg 0.000 0.000 6.366
Hg 0.000 0.000 20.553
Hg 0.000 1.908 11.580
Hg 0.000 1.908 24.313
Hg 1.653 0.954 2.607
Hg 1.653 0.954 15.340
```

Computed properties:
Formation energy in meV per atom: 198
Size of the total moment in μB/f.u.: 0.0
SG: R-3m, No. 166
Total DFT energy (no corrections) in eV per cell: -25.0

=====

Record 5
VASP calculation (PBE) on a geometry-optimized SrCoW2 structure.

extended XYZ file:
```
4
Lattice="2.809 0.000 0.000 0.000 2.809 0.000 0.000 0.000 9.112" Properties=species:S:1:pos:R:3 pbc="T T T"
Sr 0.000 0.000 0.000
Co 0.000 0.000 4.556
W 1.404 1.404 2.847
W 1.404 1.404 6.265
```

Computed properties:
Formation energy in meV per atom: 839
Size of the total moment in μB/f.u.: 1.1
Distance to the lowest polymorph of the same formula in meV/atom: 173
SG: P4/mmm, No. 123
Total DFT energy (no corrections) in eV per cell: -31.3

=====

Record 6
VASP calculation (PBE) on a geometry-optimized La2CdCoAu structure.

extended XYZ file:
```
5
Lattice="5.187 0.000 0.000 0.000 5.187 0.000 0.000 0.000 4.970" Properties=species:S:1:pos:R:3 pbc="T T T"
La 0.000 2.594 0.000
La 2.594 0.000 0.000
Cd 0.000 0.000 2.485
Co 0.000 0.000 0.000
Au 2.594 2.594 2.485
```

Computed properties:
Formation energy in meV per atom: -319
Size of the total moment in μB/f.u.: 0.0
Distance to the lowest polymorph of the same formula in meV/atom: 0
SG: P4/mmm, No. 123
Total DFT energy (no corrections) in eV per cell: -22.7

=====

Record 7
VASP calculation (PBE) on a geometry-optimized Ag2Pd5Au6 structure.

extended XYZ file:
```
26
Lattice="9.550 0.000 0.000 0.000 16.714 0.000 0.000 0.000 2.837" Properties=species:S:1:pos:R:3 pbc="T T T"
Ag 1.582 3.572 0.000
Ag 3.193 11.929 0.000
Ag 6.357 4.785 0.000
Ag 7.968 13.142 0.000
Pd 0.000 8.357 1.419
Pd 0.835 12.948 1.419
Pd 1.977 0.795 1.419
Pd 2.798 9.152 1.419
Pd 3.940 4.591 1.419
Pd 4.775 0.000 1.419
Pd 5.610 12.123 1.419
Pd 6.752 7.562 1.419
Pd 7.573 15.919 1.419
Pd 8.715 3.766 1.419
Au 0.484 15.384 0.000
Au 0.731 10.587 0.000
Au 1.823 6.313 1.419
Au 2.952 14.670 1.419
Au 4.044 2.230 0.000
Au 4.291 7.027 0.000
Au 5.259 9.687 0.000
Au 5.506 14.484 0.000
Au 6.598 2.044 1.419
Au 7.727 10.401 1.419
Au 8.819 6.127 0.000
Au 9.066 1.330 0.000
```

Computed properties:
Formation energy in meV per atom: 2
Size of the total moment in μB/f.u.: 0.0
SG: Pbam, No. 55
Total DFT energy (no corrections) in eV per cell: -102.6

=====

Record 8
VASP calculation (PBE) on a geometry-optimized Zn6Se structure.

extended XYZ file:
```
14
Lattice="7.008 0.000 0.000 0.000 7.008 0.000 0.000 0.000 7.008" Properties=species:S:1:pos:R:3 pbc="T T T"
Zn 0.000 1.752 3.504
Zn 0.000 3.504 1.752
Zn 0.000 3.504 5.256
Zn 0.000 5.256 3.504
Zn 1.752 0.000 3.504
Zn 1.752 3.504 0.000
Zn 3.504 0.000 1.752
Zn 3.504 0.000 5.256
Zn 3.504 1.752 0.000
Zn 3.504 5.256 0.000
Zn 5.256 0.000 3.504
Zn 5.256 3.504 0.000
Se 0.000 0.000 0.000
Se 3.504 3.504 3.504
```

Computed properties:
Size of the total moment in μB/f.u.: 0.0
E_form (uncorrected) in eV per atom: 0.50
SG: Im-3m, No. 229
Total DFT energy (no corrections) in eV per cell: -15.3